# 1
First-principles (GGA-PBE) data for a geometry-optimized Sr2ZrSn2 structure, as listed in Alexandria.

The calculation puts the formation enthalpy at 0 K at -364 meV per atom.

It has space group P4/mbm (No. 127), with a = 7.886 Å, b = 7.886 Å, c = 5.151 Å, α = 90.00°, β = 90.00° and γ = 90.00°. The distinct sites, in fractional coordinates, are Sr at (0.172, 0.328, 0.000), Zr at (0.000, 0.000, 0.500) and Sn at (0.136, 0.636, 0.500).

# 2
First-principles (GGA-PBE) data for a geometry-optimized Nb2SiC structure, as listed in Alexandria.

For the energy relative to the elements, uncorrected, the calculation gives -1.5 eV per formula unit.

It has space group C2/m (No. 12), with a = 5.529 Å, b = 3.185 Å, c = 6.783 Å, α = 90.00°, β = 105.04° and γ = 90.00°. The distinct sites, in fractional coordinates, are Nb at (0.224, 0.000, 0.182), Si at (0.000, 0.000, 0.500) and C at (0.000, 0.500, 0.000).

# 3
First-principles (GGA-PBE) data for a geometry-optimized NiPd6W structure, as listed in Alexandria.

The calculation puts the formation enthalpy at 0 K at 99 meV per atom.

It has space group P-1 (No. 2), with a = 4.961 Å, b = 4.963 Å, c = 4.975 Å, α = 91.54°, β = 91.80° and γ = 91.52°. The distinct sites, in fractional coordinates, are Ni at (0.000, 0.000, 0.000), Pd at (0.014, 0.751, 0.476), Pd at (0.249, 0.523, 0.984), Pd at (0.480, 0.013, 0.751) and W at (0.500, 0.500, 0.500).

Number 1: total magnetic moment 0.00 μB/cell. Number 2: total magnetic moment 0.00 μB/cell. Number 3: total magnetic moment 1.28 μB/cell.